First-principles (PBE) data for a relaxed VSiTe crystal, as listed in Alexandria.

Cell: 13.7450 4.4218 4.6677 Å, 90.00 98.40 90.00°
Closest atoms and distances in Å follow each position.
Space group C2/m (No. 12)
Symmetry-distinct sites (fractional):
1 V 0.2316 0.0000 0.2668 (multiplicity 4)  4 Si 2.39-2.46
2 Si 0.1908 0.0000 0.7505 (multiplicity 4)  4 V 2.39-2.46
3 Te 0.1050 0.5000 0.3264 (multiplicity 4)  3 V 2.72-2.85, 1 Si 2.88

Values from the calculation:
Formation energy from raw total energies, meV/atom: 89
M_tot, μB per formula unit: 0.0

First-principles (PBE) data for a relaxed VSiTe3 crystal, as listed in Alexandria.

Cell: 5.2240 5.2240 5.2240 Å, 90.00 90.00 90.00°
Closest atoms and distances in Å follow each position.
Space group Pm-3m (No. 221)
Symmetry-distinct sites (fractional):
1 V 0.0000 0.0000 0.0000 (multiplicity 1)  12 Te 3.69
2 Si 0.5000 0.5000 0.5000 (multiplicity 1)  6 Te 2.61
3 Te 0.0000 0.5000 0.5000 (multiplicity 3)  2 Si 2.61

Values from the calculation:
Formation energy from raw total energies, meV/atom: 716
M_tot, μB per formula unit: 3.0